An optimized crystal structure of HgSb2TeO, computed with GGA-PBE.

Summary:
Volume, Å³ per cell: 171.7
Formation energy from raw total energies, eV/atom: 1.285
Relative energy among the computed polymorphs, eV per atom: 1.160
Raw total energy, eV per atom: -2.04
N(E_F), states/eV per atom: 2.695
Crystal system: tetragonal
Spin magnetization, μB per atom: 0.000

Cell and atoms, written as CIF:
```
data_HgSb2TeO
_chemical_formula_sum 'Hg1 Sb2 Te1 O1'
_cell_length_a 5.5583
_cell_length_b 5.5583
_cell_length_c 5.5581
_cell_angle_alpha 90.00
_cell_angle_beta 90.00
_cell_angle_gamma 90.00
_space_group_name_H-M_alt 'P 4/m m m'
_space_group_IT_number 123
_space_group_name_Hall '-P 4 2'
loop_
_atom_site_label
_atom_site_fract_x
_atom_site_fract_y
_atom_site_fract_z
Hg1 0.0000 0.0000 0.0000
Sb1 0.0000 0.5000 0.0000
Te1 0.0000 0.0000 0.5000
O1 0.5000 0.5000 0.5000
```